This record from Alexandria describes crystalline Cr8O21 at its relaxed geometry. The functional is GGA+U.

Cell lengths 5.511, 6.722, 12.799 Å; angles 105.91, 89.23, 101.85 degrees
Site moments in Bohr magnetons follow the coordinates.
Sites, in units of the cell vectors:
O  0.805  0.799  0.422  0.00
O  0.910  0.160  0.055  -0.04
O  0.620  0.914  0.187  -0.03
O  0.737  0.353  0.749  -0.01
O  0.032  0.297  0.413  0.00
O  0.427  0.219  0.041  -0.04
O  0.137  0.943  0.176  -0.04
O  0.686  0.384  0.228  -0.01
O  0.314  0.616  0.772  -0.01
O  0.380  0.086  0.813  -0.03
O  0.863  0.057  0.824  -0.04
O  0.573  0.781  0.959  -0.04
O  0.968  0.703  0.587  0.00
O  0.615  0.944  0.619  0.00
O  0.263  0.647  0.251  -0.01
O  0.500  0.500  0.500  0.00
O  0.385  0.056  0.381  0.00
O  0.811  0.559  0.065  -0.06
O  0.189  0.441  0.935  -0.06
O  0.195  0.201  0.578  0.00
O  0.090  0.840  0.945  -0.04
Cr  0.293  0.663  0.900  0.15
Cr  0.707  0.337  0.100  0.15
Cr  0.851  0.859  0.068  2.87
Cr  0.729  0.735  0.531  0.01
Cr  0.349  0.885  0.247  0.12
Cr  0.651  0.115  0.753  0.12
Cr  0.271  0.265  0.469  0.01
Cr  0.149  0.141  0.932  2.87

Results
**Space group**: No. 2
**Energy above the lowest structure with this stoichiometry**: 0.000 eV/atom
**Crystal system**: triclinic
**Magnetic moment**: 6.00 μB per cell